Here is crystalline DyGe2MoO8 at its relaxed geometry from Alexandria. Energies are from GGA+U.

## Properties
- Magnetic moment: 1.00 μB per formula unit
- E_tot: -7.0044 eV per atom

Structure (CIF):
```
data_DyGe2MoO8
_symmetry_space_group_name_H-M 'I -4 m 2'
_symmetry_Int_Tables_number 119
_symmetry_space_group_name_Hall 'I -4 -2'
_cell_length_a 6.885
_cell_length_b 6.885
_cell_length_c 6.245
_cell_angle_alpha 90.00
_cell_angle_beta 90.00
_cell_angle_gamma 90.00
loop_
_atom_site_label
_atom_site_type_symbol
_atom_site_fract_x
_atom_site_fract_y
_atom_site_fract_z
Dy1 Dy 0.000 0.000 0.000
Ge1 Ge 0.000 0.000 0.500
Ge2 Ge 0.000 0.500 0.750
Mo1 Mo 0.000 0.500 0.250
O1 O 0.000 0.194 0.314
O2 O 0.000 0.327 0.959
```